Material: Tl2CoPbO
Method: DFT, PBE+U
State: optimized geometry

Cell lengths 5.0818, 4.8932, 5.0818 Å; angles 90.00, 90.00, 90.00 degrees
Sites, in units of the cell vectors:
Pb: 0.0000 0.5000 0.0000
Tl: 0.0000 0.0000 0.5000
Tl: 0.5000 0.0000 0.0000
Co: 0.5000 0.5000 0.5000
O: 0.0000 0.0000 0.0000

Results
Size of the total moment (μB per cell): 2.0
Density (g/cm³): 9.08
E_tot (eV per atom): -3.48
DOS(E_F) (states/eV per cell): 1.80
Symmetry: No. 123